Mg2Zn2Au7 | PBE-GGA | optimized geometry

Lattice parameters (Å, degrees): 5.0145 6.5417 6.5417 85.41 97.07 97.07
Closest atoms and distances in Å follow each position.
Element x y z (fractional)
Mg1 0.2342 0.2501 0.2501  9 Au 2.81-3.10
Mg2 0.7658 0.7499 0.7499  9 Au 2.81-3.10
Zn1 0.0000 0.2306 0.7694  6 Au 2.63-2.94
Zn2 0.0000 0.7694 0.2306  6 Au 2.63-2.94
Au1 0.7414 0.0269 0.3991  2 Zn 2.63-2.94, 4 Au 2.75-2.87, 2 Mg 2.81-2.94
Au2 0.2586 0.6009 0.9731  2 Zn 2.63-2.94, 4 Au 2.75-2.87, 2 Mg 2.81-2.94
Au3 0.2586 0.9731 0.6009  2 Zn 2.63-2.94, 4 Au 2.75-2.87, 2 Mg 2.81-2.94
Au4 0.7414 0.3991 0.0269  2 Zn 2.63-2.94, 4 Au 2.75-2.87, 2 Mg 2.81-2.94
Au5 0.5000 0.0000 0.0000  4 Au 2.75, 2 Mg 2.94
Au6 0.2691 0.5490 0.5490  4 Au 2.64-2.83, 2 Zn 2.75, 2 Mg 2.85-2.88
Au7 0.7309 0.4510 0.4510  4 Au 2.64-2.83, 2 Zn 2.75, 2 Mg 2.85-2.88

ΔH_f (0 K) (eV per atom): -0.230
Density of states at the Fermi level (states/eV/f.u.): 2.37
Symmetry: C2/m (12)
Calculated density (g/cm3): 12.27

***

Mg6ZnAu3 | PBE-GGA | optimized geometry

Lattice parameters (Å, degrees): 4.7970 8.0563 10.2848 110.02 90.00 90.00
Closest atoms and distances in Å follow each position.
Element x y z (fractional)
Mg1 0.2500 0.4658 0.0816  7 Au 2.85-3.11, 5 Mg 3.03-3.08
Mg2 0.7500 0.5342 0.9184  7 Au 2.85-3.11, 5 Mg 3.03-3.08
Mg3 0.2500 0.1488 0.1759  8 Mg 2.94-3.16, 4 Au 2.96-3.04
Mg4 0.7500 0.8512 0.8241  8 Mg 2.94-3.16, 4 Au 2.96-3.04
Mg5 0.2500 0.6531 0.6764  5 Au 2.76-2.91, 1 Zn 2.89, 3 Mg 2.99-3.08
Mg6 0.7500 0.3469 0.3236  5 Au 2.76-2.91, 1 Zn 2.89, 3 Mg 2.99-3.08
Mg7 0.2500 0.2576 0.4983  4 Au 2.79-2.98, 3 Zn 2.87-2.91, 1 Mg 3.08
Mg8 0.7500 0.7424 0.5017  4 Au 2.79-2.98, 3 Zn 2.87-2.91, 1 Mg 3.08
Mg9 0.2500 0.8362 0.2951  3 Zn 2.83-2.94, 3 Au 2.87-2.88, 2 Mg 3.04-3.16
Mg10 0.7500 0.1638 0.7049  3 Zn 2.83-2.94, 3 Au 2.87-2.88, 2 Mg 3.04-3.16
Mg11 0.2500 0.0835 0.8767  4 Au 2.77-2.92, 1 Zn 2.79, 4 Mg 2.94-3.08
Mg12 0.7500 0.9165 0.1233  4 Au 2.77-2.92, 1 Zn 2.79, 4 Mg 2.94-3.08
Zn1 0.2500 0.9563 0.5875  8 Mg 2.79-2.94
Zn2 0.7500 0.0437 0.4125  8 Mg 2.79-2.94
Au1 0.2500 0.5281 0.3749  9 Mg 2.76-3.04
Au2 0.7500 0.4719 0.6251  9 Mg 2.76-3.04
Au3 0.2500 0.3705 0.7865  8 Mg 2.77-2.88
Au4 0.7500 0.6295 0.2135  8 Mg 2.77-2.88
Au5 0.2500 0.7837 0.9754  11 Mg 2.85-3.17
Au6 0.7500 0.2163 0.0246  11 Mg 2.85-3.17

ΔH_f (0 K) (eV per atom): -0.408
Density of states at the Fermi level (states/eV/f.u.): 3.17
Symmetry: P2_1/m (11)
Calculated density (g/cm3): 7.13

***

MgZnAu5 | PBE-GGA | optimized geometry

Lattice parameters (Å, degrees): 4.0853 4.0853 7.7430 90.00 90.00 90.00
Closest atoms and distances in Å follow each position.
Element x y z (fractional)
Mg1 0.0000 0.0000 0.0000  12 Au 2.89-2.96
Zn1 0.0000 0.0000 0.5000  8 Au 2.68
Au1 0.5000 0.0000 0.7237  2 Zn 2.68, 6 Au 2.89-2.96, 2 Mg 2.96
Au2 0.0000 0.5000 0.7237  2 Zn 2.68, 6 Au 2.89-2.96, 2 Mg 2.96
Au3 0.5000 0.5000 0.0000  4 Mg 2.89, 8 Au 2.96
Au4 0.0000 0.5000 0.2763  2 Zn 2.68, 6 Au 2.89-2.96, 2 Mg 2.96
Au5 0.5000 0.0000 0.2763  2 Zn 2.68, 6 Au 2.89-2.96, 2 Mg 2.96

ΔH_f (0 K) (eV per atom): -0.246
E above lowest polymorph (kJ per mole of atoms): 2.4
Density of states at the Fermi level (states/eV/f.u.): 2.33
Symmetry: P4/mmm (123)
Calculated density (g/cm3): 13.81

***

Mg3ZnAu4 | PBE-GGA | optimized geometry

Lattice parameters (Å, degrees): 3.2732 3.2732 13.1488 90.00 90.00 90.00
Closest atoms and distances in Å follow each position.
Element x y z (fractional)
Mg1 0.5000 0.5000 0.2445  8 Au 2.85-2.86
Mg2 0.5000 0.5000 0.5000  8 Au 2.86
Mg3 0.5000 0.5000 0.7555  8 Au 2.85-2.86
Au1 0.0000 0.0000 0.8824  4 Zn 2.78, 4 Mg 2.85, 1 Au 3.09
Au2 0.0000 0.0000 0.1176  4 Zn 2.78, 4 Mg 2.85, 1 Au 3.09
Au3 0.0000 0.0000 0.3725  8 Mg 2.86
Au4 0.0000 0.0000 0.6275  8 Mg 2.86
Zn1 0.5000 0.5000 0.0000  8 Au 2.78

ΔH_f (0 K) (eV per atom): -0.508
Density of states at the Fermi level (states/eV/f.u.): 2.87
Symmetry: P4/mmm (123)
Calculated density (g/cm3): 10.92

***

Mg2ZnAu | PBE-GGA | optimized geometry

Lattice parameters (Å, degrees): 8.6052 8.6052 8.6052 21.98 21.98 21.98
Closest atoms and distances in Å follow each position.
Element x y z (fractional)
Au1 0.7500 0.7500 0.7500  6 Mg 2.81
Mg1 0.0007 0.0007 0.0007  3 Au 2.81, 3 Zn 2.84
Mg2 0.4993 0.4993 0.4993  3 Au 2.81, 3 Zn 2.84
Zn1 0.2500 0.2500 0.2500  6 Mg 2.84

ΔH_f (0 K) (eV per atom): -0.174
Density of states at the Fermi level (states/eV/f.u.): 1.47
Symmetry: R-3m (166)
Calculated density (g/cm3): 6.60

***

MgZn3Au3 | PBE-GGA | optimized geometry

Lattice parameters (Å, degrees): 7.1057 7.1057 7.1057 90.00 90.00 90.00
Closest atoms and distances in Å follow each position.
Element x y z (fractional)
Zn1 0.0000 0.2500 0.5000  4 Au 2.51
Zn2 0.0000 0.7500 0.5000  4 Au 2.51
Zn3 0.5000 0.0000 0.7500  4 Au 2.51
Zn4 0.7500 0.5000 0.0000  4 Au 2.51
Zn5 0.5000 0.0000 0.2500  4 Au 2.51
Zn6 0.2500 0.5000 0.0000  4 Au 2.51
Au1 0.2500 0.0000 0.5000  4 Zn 2.51
Au2 0.0000 0.5000 0.2500  4 Zn 2.51
Au3 0.5000 0.7500 0.0000  4 Zn 2.51
Au4 0.7500 0.0000 0.5000  4 Zn 2.51
Au5 0.0000 0.5000 0.7500  4 Zn 2.51
Au6 0.5000 0.2500 0.0000  4 Zn 2.51
Mg1 0.5000 0.5000 0.5000  12 Zn 3.97, 12 Au 3.97
Mg2 0.0000 0.0000 0.0000  12 Zn 3.97, 12 Au 3.97

ΔH_f (0 K) (eV per atom): 0.204
E above lowest polymorph (kJ per mole of atoms): 46.7
Density of states at the Fermi level (states/eV/f.u.): 4.54
Symmetry: Pm-3n (223)
Calculated density (g/cm3): 7.51

***

> What is the formula in the fourth record?

Mg3ZnAu4

***

> Which of these has the highest calculated density?

MgZnAu5

***

Copy entry 6 word for word.
MgZn3Au3 | PBE-GGA | optimized geometry

Lattice parameters (Å, degrees): 7.1057 7.1057 7.1057 90.00 90.00 90.00
Closest atoms and distances in Å follow each position.
Element x y z (fractional)
Zn1 0.0000 0.2500 0.5000  4 Au 2.51
Zn2 0.0000 0.7500 0.5000  4 Au 2.51
Zn3 0.5000 0.0000 0.7500  4 Au 2.51
Zn4 0.7500 0.5000 0.0000  4 Au 2.51
Zn5 0.5000 0.0000 0.2500  4 Au 2.51
Zn6 0.2500 0.5000 0.0000  4 Au 2.51
Au1 0.2500 0.0000 0.5000  4 Zn 2.51
Au2 0.0000 0.5000 0.2500  4 Zn 2.51
Au3 0.5000 0.7500 0.0000  4 Zn 2.51
Au4 0.7500 0.0000 0.5000  4 Zn 2.51
Au5 0.0000 0.5000 0.7500  4 Zn 2.51
Au6 0.5000 0.2500 0.0000  4 Zn 2.51
Mg1 0.5000 0.5000 0.5000  12 Zn 3.97, 12 Au 3.97
Mg2 0.0000 0.0000 0.0000  12 Zn 3.97, 12 Au 3.97

ΔH_f (0 K) (eV per atom): 0.204
E above lowest polymorph (kJ per mole of atoms): 46.7
Density of states at the Fermi level (states/eV/f.u.): 4.54
Symmetry: Pm-3n (223)
Calculated density (g/cm3): 7.51